Record 1
# Sr2CuIr

A geometry-optimized Sr2CuIr structure (PBE, Alexandria).

a = 5.241 Å, b = 5.241 Å, c = 3.610 Å
α = 90.00°, β = 90.00°, γ = 90.00°
Sites, in units of the cell vectors:
1 Sr 0.000 0.500 0.000
2 Sr 0.500 0.000 0.000
3 Cu 0.000 0.000 0.500
4 Ir 0.500 0.500 0.500

Computed properties:
formation energy	0.86	kcal/mol of atoms
spin magnetization	0.00	Bohr magnetons per cell
crystal system	tetragonal

Record 2
# GaFe2As2

A geometry-optimized GaFe2As2 structure (PBE, Alexandria).

a = 5.518 Å, b = 5.518 Å, c = 5.518 Å
α = 136.88°, β = 136.88°, γ = 62.63°
Sites, in units of the cell vectors:
1 Ga 0.000 0.000 0.000
2 Fe 0.250 0.750 0.500
3 Fe 0.750 0.250 0.500
4 As 0.366 0.366 0.000
5 As 0.634 0.634 0.000

Computed properties:
polymorph energy (0 for the lowest one)	0.000	eV/atom
formation energy	1.40	kcal/mol of atoms
spin magnetization	0.00	Bohr magnetons per cell
crystal system	tetragonal

Record 3
# Sr2InSe4

A geometry-optimized Sr2InSe4 structure (PBE, Alexandria).

a = 8.579 Å, b = 8.579 Å, c = 8.579 Å
α = 143.83°, β = 143.83°, γ = 52.08°
Sites, in units of the cell vectors:
1 Sr 0.131 0.131 0.000
2 Sr 0.869 0.869 0.000
3 In 0.500 0.500 0.000
4 Se 0.000 0.500 0.500
5 Se 0.325 0.325 0.000
6 Se 0.500 0.000 0.500
7 Se 0.675 0.675 0.000

Computed properties:
raw formation energy	-1072	meV/atom
spin magnetization	0.00	Bohr magnetons per cell
crystal system	tetragonal

| no. | volume (A^3/atom) |
| --- | --- |
| 1 | 24.8 |
| 2 | 15.5 |
| 3 | 31.2 |